DFT (PBE) results for crystalline BaThAgSe4 at its relaxed geometry.

crystal system = monoclinic
space group = P2_1/m
energy = -71.07 eV/cell
total magnetization = 0.000 μB/atom

Cell and atoms, written as CIF:
```
data_BaThAgSe4
_cell_length_a 7.4968
_cell_length_b 6.0247
_cell_length_c 9.3325
_cell_angle_alpha 90.00
_cell_angle_beta 110.05
_cell_angle_gamma 90.00
_space_group_name_H-M_alt 'P 1'
_space_group_IT_number 1
loop_
_space_group_symop_operation_xyz
'x,y,z'
loop_
_atom_site_label
_atom_site_fract_x
_atom_site_fract_y
_atom_site_fract_z
_atom_site_occupancy
Ba1 0.7392 0.7500 0.9463 1
Ba2 0.2608 0.2500 0.0537 1
Th1 0.7302 0.7500 0.4407 1
Th2 0.2698 0.2500 0.5593 1
Ag1 0.2484 0.7500 0.3005 1
Ag2 0.7516 0.2500 0.6995 1
Se1 0.0362 0.5156 0.7135 1
Se2 0.9638 0.0156 0.2865 1
Se3 0.9638 0.4844 0.2865 1
Se4 0.0362 0.9844 0.7135 1
Se5 0.4509 0.7500 0.1303 1
Se6 0.5491 0.2500 0.8697 1
Se7 0.4403 0.7500 0.5959 1
Se8 0.5597 0.2500 0.4041 1
```

=====

DFT (PBE) results for crystalline Ba3TiAg2Se6 at its relaxed geometry.

crystal system = trigonal
space group = P-3m1
energy = -53.23 eV/cell
total magnetization = 0.000 μB/atom

Cell and atoms, written as CIF:
```
data_Ba3TiAg2Se6
_cell_length_a 7.5629
_cell_length_b 7.5629
_cell_length_c 7.9807
_cell_angle_alpha 90.00
_cell_angle_beta 90.00
_cell_angle_gamma 120.00
_space_group_name_H-M_alt 'P 1'
_space_group_IT_number 1
loop_
_space_group_symop_operation_xyz
'x,y,z'
loop_
_atom_site_label
_atom_site_fract_x
_atom_site_fract_y
_atom_site_fract_z
_atom_site_occupancy
Ba1 0.3333 0.6667 0.6131 1
Ba2 0.6667 0.3333 0.3869 1
Ba3 0.0000 0.0000 0.0000 1
Ti1 0.0000 0.0000 0.5000 1
Ag1 0.6667 0.3333 0.8502 1
Ag2 0.3333 0.6667 0.1498 1
Se1 0.6797 0.8399 0.3095 1
Se2 0.1601 0.3203 0.3095 1
Se3 0.1601 0.8399 0.3095 1
Se4 0.8399 0.6797 0.6905 1
Se5 0.3203 0.1601 0.6905 1
Se6 0.8399 0.1601 0.6905 1
```

=====

DFT (PBE) results for crystalline Ba2TlAgSe at its relaxed geometry.

crystal system = tetragonal
space group = P4/mmm
energy = -14.65 eV/cell
total magnetization = 0.000 μB/atom

Cell and atoms, written as CIF:
```
data_Ba2TlAgSe
_cell_length_a 6.3015
_cell_length_b 5.1634
_cell_length_c 6.3015
_cell_angle_alpha 90.00
_cell_angle_beta 90.00
_cell_angle_gamma 90.00
_space_group_name_H-M_alt 'P 1'
_space_group_IT_number 1
loop_
_space_group_symop_operation_xyz
'x,y,z'
loop_
_atom_site_label
_atom_site_fract_x
_atom_site_fract_y
_atom_site_fract_z
_atom_site_occupancy
Tl1 0.0000 0.5000 0.0000 1
Se1 0.5000 0.5000 0.5000 1
Ba1 0.0000 0.0000 0.5000 1
Ba2 0.5000 0.0000 0.0000 1
Ag1 0.0000 0.0000 0.0000 1
```

=====

DFT (PBE) results for crystalline Ba2TmAg2Se4 at its relaxed geometry.

crystal system = monoclinic
space group = C2/m
energy = -39.55 eV/cell
total magnetization = 0.000 μB/atom

Cell and atoms, written as CIF:
```
data_Ba2TmAg2Se4
_cell_length_a 4.1621
_cell_length_b 7.9921
_cell_length_c 8.4259
_cell_angle_alpha 113.60
_cell_angle_beta 104.30
_cell_angle_gamma 90.00
_space_group_name_H-M_alt 'P 1'
_space_group_IT_number 1
loop_
_space_group_symop_operation_xyz
'x,y,z'
loop_
_atom_site_label
_atom_site_fract_x
_atom_site_fract_y
_atom_site_fract_z
_atom_site_occupancy
Ba1 0.1367 0.5864 0.2734 1
Ba2 0.8633 0.4136 0.7266 1
Tm1 0.0000 0.0000 0.0000 1
Ag1 0.6873 0.0031 0.3746 1
Ag2 0.3127 0.9969 0.6254 1
Se1 0.1880 0.2337 0.3759 1
Se2 0.8120 0.7663 0.6241 1
Se3 0.5138 0.7554 0.0276 1
Se4 0.4862 0.2446 0.9724 1
```

=====

DFT (PBE) results for crystalline BaTmAg2Se4 at its relaxed geometry.

crystal system = orthorhombic
space group = I222
energy = -34.39 eV/cell
total magnetization = 0.000 μB/atom

Cell and atoms, written as CIF:
```
data_BaTmAg2Se4
_cell_length_a 7.1083
_cell_length_b 6.6980
_cell_length_c 6.6980
_cell_angle_alpha 68.19
_cell_angle_beta 57.95
_cell_angle_gamma 57.95
_space_group_name_H-M_alt 'P 1'
_space_group_IT_number 1
loop_
_space_group_symop_operation_xyz
'x,y,z'
loop_
_atom_site_label
_atom_site_fract_x
_atom_site_fract_y
_atom_site_fract_z
_atom_site_occupancy
Ba1 0.0000 0.0000 0.0000 1
Tm1 0.5000 0.5000 0.5000 1
Ag1 0.1857 0.3143 0.3143 1
Ag2 0.8143 0.6857 0.6857 1
Se1 0.4755 0.0996 0.5242 1
Se2 0.0993 0.9004 0.4758 1
Se3 0.9007 0.5242 0.0996 1
Se4 0.5245 0.4758 0.9004 1
```

=====

DFT (PBE) results for crystalline Ba3U2AgSe9 at its relaxed geometry.

crystal system = trigonal
space group = P-3m1
energy = -81.91 eV/cell
total magnetization = 0.067 μB/atom

Cell and atoms, written as CIF:
```
data_Ba3U2AgSe9
_cell_length_a 7.5897
_cell_length_b 7.5897
_cell_length_c 9.4452
_cell_angle_alpha 90.00
_cell_angle_beta 90.00
_cell_angle_gamma 120.00
_space_group_name_H-M_alt 'P 1'
_space_group_IT_number 1
loop_
_space_group_symop_operation_xyz
'x,y,z'
loop_
_atom_site_label
_atom_site_fract_x
_atom_site_fract_y
_atom_site_fract_z
_atom_site_occupancy
Ba1 0.3333 0.6667 0.6357 1
Ba2 0.0000 0.0000 0.0000 1
Ba3 0.6667 0.3333 0.3643 1
U1 0.3333 0.6667 0.1734 1
U2 0.6667 0.3333 0.8266 1
Ag1 0.0000 0.0000 0.5000 1
Se1 0.8330 0.1670 0.6698 1
Se2 0.8330 0.6660 0.6698 1
Se3 0.3340 0.1670 0.6698 1
Se4 0.6660 0.8330 0.3302 1
Se5 0.1670 0.3340 0.3302 1
Se6 0.1670 0.8330 0.3302 1
Se7 0.5000 0.0000 0.0000 1
Se8 0.0000 0.5000 0.0000 1
Se9 0.5000 0.5000 0.0000 1
```

=====

DFT (PBE) results for crystalline Ba2UAg2Se6 at its relaxed geometry.

crystal system = monoclinic
space group = C2/m
energy = -53.64 eV/cell
total magnetization = 0.007 μB/atom

Cell and atoms, written as CIF:
```
data_Ba2UAg2Se6
_cell_length_a 7.4971
_cell_length_b 7.9260
_cell_length_c 7.7728
_cell_angle_alpha 118.32
_cell_angle_beta 90.00
_cell_angle_gamma 118.23
_space_group_name_H-M_alt 'P 1'
_space_group_IT_number 1
loop_
_space_group_symop_operation_xyz
'x,y,z'
loop_
_atom_site_label
_atom_site_fract_x
_atom_site_fract_y
_atom_site_fract_z
_atom_site_occupancy
Ba1 0.7383 0.4767 0.2017 1
Ba2 0.2617 0.5233 0.7983 1
U1 0.5000 0.0000 0.5000 1
Ag1 0.9308 0.8617 0.7790 1
Ag2 0.0692 0.1383 0.2210 1
Se1 0.7163 0.4327 0.6015 1
Se2 0.1887 0.8697 0.1994 1
Se3 0.3190 0.1303 0.8006 1
Se4 0.8113 0.1303 0.8006 1
Se5 0.6810 0.8697 0.1994 1
Se6 0.2837 0.5673 0.3985 1
```

=====

DFT (PBE) results for crystalline BaUAg2Se4 at its relaxed geometry.

crystal system = orthorhombic
space group = I222
energy = -39.68 eV/cell
total magnetization = 0.252 μB/atom

Cell and atoms, written as CIF:
```
data_BaUAg2Se4
_cell_length_a 7.0349
_cell_length_b 6.7774
_cell_length_c 6.7774
_cell_angle_alpha 69.47
_cell_angle_beta 58.74
_cell_angle_gamma 58.74
_space_group_name_H-M_alt 'P 1'
_space_group_IT_number 1
loop_
_space_group_symop_operation_xyz
'x,y,z'
loop_
_atom_site_label
_atom_site_fract_x
_atom_site_fract_y
_atom_site_fract_z
_atom_site_occupancy
Ba1 0.0000 0.0000 0.0000 1
U1 0.5000 0.5000 0.5000 1
Ag1 0.1672 0.3328 0.3328 1
Ag2 0.8328 0.6672 0.6672 1
Se1 0.4695 0.1028 0.5257 1
Se2 0.0980 0.8972 0.4743 1
Se3 0.9020 0.5257 0.1028 1
Se4 0.5305 0.4743 0.8972 1
```

=====

- Look up the energy of the first one.
  -71.07 eV/cell

=====

- Which value of total magnetization does entry 3 give?
  0.000 μB/atom